(1)
## TlHg2PSe4 (GGA-PBE)

Data for an optimized crystal structure of TlHg2PSe4.

Structure (CIF):
```
data_TlHg2PSe4
_chemical_formula_sum 'Tl2 Hg4 P2 Se8'
_symmetry_space_group_name_H-M 'I 2 2 2'
_symmetry_Int_Tables_number 23
_cell_length_a 6.893
_cell_length_b 8.167
_cell_length_c 8.648
_cell_angle_alpha 90.00
_cell_angle_beta 90.00
_cell_angle_gamma 90.00
loop_
_symmetry_equiv_pos_as_xyz
'x,y,z'
'-x,-y,z'
'x,-y,-z'
'-x,y,-z'
'x+1/2,y+1/2,z+1/2'
'-x+1/2,-y+1/2,z+1/2'
'x+1/2,-y+1/2,-z+1/2'
'-x+1/2,y+1/2,-z+1/2'
loop_
_atom_site_label
_atom_site_fract_x
_atom_site_fract_y
_atom_site_fract_z
Tl1 0.000 0.000 0.000
Hg1 0.000 0.500 0.186
P1 0.000 0.000 0.500
Se1 0.205 0.185 0.336
```

Calculated values
total energy	-2.838	eV per atom
crystal system	orthorhombic
formation energy (no corrections)	-48	meV/atom

***

(2)
## In5Hg6 (GGA-PBE)

Data for an optimized crystal structure of In5Hg6.

Structure (CIF):
```
data_In5Hg6
_chemical_formula_sum 'In10 Hg12'
_symmetry_space_group_name_H-M 'C 1 2/m 1'
_symmetry_Int_Tables_number 12
_cell_length_a 7.056
_cell_length_b 11.994
_cell_length_c 7.445
_cell_angle_alpha 90.00
_cell_angle_beta 107.31
_cell_angle_gamma 90.00
loop_
_symmetry_equiv_pos_as_xyz
'x,y,z'
'-x,-y,-z'
'-x,y,-z'
'x,-y,z'
'x+1/2,y+1/2,z'
'-x+1/2,-y+1/2,-z'
'-x+1/2,y+1/2,-z'
'x+1/2,-y+1/2,z'
loop_
_atom_site_label
_atom_site_fract_x
_atom_site_fract_y
_atom_site_fract_z
In1 0.000 0.000 0.000
In2 0.000 0.145 0.500
In3 0.000 0.274 0.000
Hg1 0.173 0.368 0.691
Hg2 0.185 0.500 0.211
```

Calculated values
total energy	-1.392	eV per atom
crystal system	monoclinic
energy of formation from the pure elements	19	kJ/mol of formula units
relative energy among the computed polymorphs	0.012	eV per atom

***

(3)
## Ga2Ag2Te (GGA-PBE)

Data for an optimized crystal structure of Ga2Ag2Te.

Structure (CIF):
```
data_Ga2Ag2Te
_chemical_formula_sum 'Ga4 Ag4 Te2'
_symmetry_space_group_name_H-M 'I 4/m m m'
_symmetry_Int_Tables_number 139
_symmetry_space_group_name_Hall '-I 4 2'
_cell_length_a 4.118
_cell_length_b 4.118
_cell_length_c 12.564
_cell_angle_alpha 90.00
_cell_angle_beta 90.00
_cell_angle_gamma 90.00
loop_
_atom_site_label
_atom_site_fract_x
_atom_site_fract_y
_atom_site_fract_z
Ga1 0.000 0.000 0.100
Ag1 0.000 0.500 0.250
Te1 0.000 0.000 0.500
```

Calculated values
total energy	-2.903	eV per atom
crystal system	tetragonal
formation energy (no corrections)	77	meV/atom
relative energy among the computed polymorphs	0.034	eV per atom

***

(4)
## NbVS (GGA-PBE)

Data for an optimized crystal structure of NbVS.

Structure (CIF):
```
data_NbVS
_chemical_formula_sum 'Nb8 V8 S8'
_symmetry_space_group_name_H-M 'C 1 2/m 1'
_symmetry_Int_Tables_number 12
_cell_length_a 13.800
_cell_length_b 3.077
_cell_length_c 8.726
_cell_angle_alpha 90.00
_cell_angle_beta 98.25
_cell_angle_gamma 90.00
loop_
_symmetry_equiv_pos_as_xyz
'x,y,z'
'-x,-y,-z'
'-x,y,-z'
'x,-y,z'
'x+1/2,y+1/2,z'
'-x+1/2,-y+1/2,-z'
'-x+1/2,y+1/2,-z'
'x+1/2,-y+1/2,z'
loop_
_atom_site_label
_atom_site_fract_x
_atom_site_fract_y
_atom_site_fract_z
Nb1 0.055 0.000 0.168
Nb2 0.095 0.500 0.665
V1 0.225 0.500 0.372
V2 0.248 0.000 0.124
S1 0.108 0.000 0.446
S2 0.125 0.000 0.910
```

Calculated values
total energy	-8.237	eV per atom
crystal system	monoclinic
formation energy (no corrections)	-465	meV/atom
relative energy among the computed polymorphs	0.137	eV per atom

***

(5)
## GdTmLuMg (GGA-PBE)

Data for an optimized crystal structure of GdTmLuMg.

Structure (CIF):
```
data_GdTmLuMg
_chemical_formula_sum 'Gd4 Tm4 Lu4 Mg4'
_symmetry_space_group_name_H-M 'F -4 3 m'
_symmetry_Int_Tables_number 216
_symmetry_space_group_name_Hall 'F -4 2 3'
_cell_length_a 7.704
_cell_length_b 7.704
_cell_length_c 7.704
_cell_angle_alpha 90.00
_cell_angle_beta 90.00
_cell_angle_gamma 90.00
loop_
_atom_site_label
_atom_site_fract_x
_atom_site_fract_y
_atom_site_fract_z
Gd1 0.000 0.000 0.000
Tm1 0.000 0.000 0.500
Lu1 0.250 0.250 0.750
Mg1 0.250 0.250 0.250
```

Calculated values
total energy	-6.137	eV per atom
crystal system	cubic
energy of formation from the pure elements	11	kJ/mol of formula units

***

(6)
## Ca2MgBe (GGA-PBE)

Data for an optimized crystal structure of Ca2MgBe.

Structure (CIF):
```
data_Ca2MgBe
_chemical_formula_sum 'Ca2 Mg1 Be1'
_symmetry_space_group_name_H-M 'P 4/m m m'
_symmetry_Int_Tables_number 123
_symmetry_space_group_name_Hall '-P 4 2'
_cell_length_a 5.274
_cell_length_b 5.274
_cell_length_c 3.788
_cell_angle_alpha 90.00
_cell_angle_beta 90.00
_cell_angle_gamma 90.00
loop_
_atom_site_label
_atom_site_fract_x
_atom_site_fract_y
_atom_site_fract_z
Ca1 0.000 0.500 0.000
Mg1 0.000 0.000 0.500
Be1 0.500 0.500 0.500
```

Calculated values
total energy	-2.096	eV per atom
crystal system	tetragonal
energy of formation from the pure elements	91	kJ/mol of formula units
relative energy among the computed polymorphs	0.070	eV per atom

***

(7)
## MgSnI2O (GGA-PBE)

Data for an optimized crystal structure of MgSnI2O.

Structure (CIF):
```
data_MgSnI2O
_chemical_formula_sum 'Mg1 Sn1 I2 O1'
_symmetry_space_group_name_H-M 'P 4/m m m'
_symmetry_Int_Tables_number 123
_symmetry_space_group_name_Hall '-P 4 2'
_cell_length_a 6.191
_cell_length_b 6.191
_cell_length_c 4.073
_cell_angle_alpha 90.00
_cell_angle_beta 90.00
_cell_angle_gamma 90.00
loop_
_atom_site_label
_atom_site_fract_x
_atom_site_fract_y
_atom_site_fract_z
Mg1 0.000 0.000 0.000
Sn1 0.500 0.500 0.500
I1 0.000 0.500 0.500
O1 0.500 0.500 0.000
```

Calculated values
total energy	-3.120	eV per atom
crystal system	tetragonal
formation energy (no corrections)	-389	meV/atom
relative energy among the computed polymorphs	0.292	eV per atom

***

(8)
## NdSmDy2Tm5 (GGA-PBE)

Data for an optimized crystal structure of NdSmDy2Tm5.

Structure (CIF):
```
data_NdSmDy2Tm5
_chemical_formula_sum 'Nd4 Sm4 Dy8 Tm20'
_symmetry_space_group_name_H-M 'I 4/m c m'
_symmetry_Int_Tables_number 140
_symmetry_space_group_name_Hall '-I 4 2c'
_cell_length_a 8.805
_cell_length_b 8.805
_cell_length_c 14.787
_cell_angle_alpha 90.00
_cell_angle_beta 90.00
_cell_angle_gamma 90.00
loop_
_atom_site_label
_atom_site_fract_x
_atom_site_fract_y
_atom_site_fract_z
Nd1 0.000 0.000 0.250
Sm1 0.000 0.500 0.250
Dy1 0.114 0.386 0.000
Tm1 0.000 0.000 0.000
Tm2 0.205 0.295 0.367
```

Calculated values
total energy	-4.281	eV per atom
crystal system	tetragonal
energy of formation from the pure elements	244	kJ/mol of formula units

***

(9)
## CeTm2Sn2 (GGA-PBE)

Data for an optimized crystal structure of CeTm2Sn2.

Structure (CIF):
```
data_CeTm2Sn2
_chemical_formula_sum 'Ce4 Tm8 Sn8'
_symmetry_space_group_name_H-M 'C m c 21'
_symmetry_Int_Tables_number 36
_cell_length_a 4.866
_cell_length_b 18.151
_cell_length_c 6.533
_cell_angle_alpha 90.00
_cell_angle_beta 90.00
_cell_angle_gamma 90.00
loop_
_symmetry_equiv_pos_as_xyz
'x,y,z'
'-x,-y,z+1/2'
'-x,y,z'
'x,-y,z+1/2'
'x+1/2,y+1/2,z'
'-x+1/2,-y+1/2,z+1/2'
'-x+1/2,y+1/2,z'
'x+1/2,-y+1/2,z+1/2'
loop_
_atom_site_label
_atom_site_fract_x
_atom_site_fract_y
_atom_site_fract_z
Ce1 0.000 0.112 0.000
Tm1 0.000 0.315 0.905
Tm2 0.000 0.486 0.233
Sn1 0.000 0.073 0.482
Sn2 0.000 0.292 0.381
```

Calculated values
total energy	-5.080	eV per atom
crystal system	orthorhombic
energy of formation from the pure elements	-243	kJ/mol of formula units

***

(10)
## TbPm2DyHo (GGA-PBE)

Data for an optimized crystal structure of TbPm2DyHo.

Structure (CIF):
```
data_TbPm2DyHo
_chemical_formula_sum 'Tb4 Pm8 Dy4 Ho4'
_symmetry_space_group_name_H-M 'C m c m'
_symmetry_Int_Tables_number 63
_symmetry_space_group_name_Hall '-C 2c 2'
_cell_length_a 8.382
_cell_length_b 11.543
_cell_length_c 7.246
_cell_angle_alpha 90.00
_cell_angle_beta 90.00
_cell_angle_gamma 90.00
loop_
_atom_site_label
_atom_site_fract_x
_atom_site_fract_y
_atom_site_fract_z
Tb1 0.000 0.014 0.250
Pm1 0.192 0.500 0.000
Dy1 0.000 0.281 0.250
Ho1 0.000 0.266 0.750
```

Calculated values
total energy	-4.237	eV per atom
crystal system	orthorhombic
energy of formation from the pure elements	205	kJ/mol of formula units

***

Copy entry 2 word for word.
## In5Hg6 (GGA-PBE)

Data for an optimized crystal structure of In5Hg6.

Structure (CIF):
```
data_In5Hg6
_chemical_formula_sum 'In10 Hg12'
_symmetry_space_group_name_H-M 'C 1 2/m 1'
_symmetry_Int_Tables_number 12
_cell_length_a 7.056
_cell_length_b 11.994
_cell_length_c 7.445
_cell_angle_alpha 90.00
_cell_angle_beta 107.31
_cell_angle_gamma 90.00
loop_
_symmetry_equiv_pos_as_xyz
'x,y,z'
'-x,-y,-z'
'-x,y,-z'
'x,-y,z'
'x+1/2,y+1/2,z'
'-x+1/2,-y+1/2,-z'
'-x+1/2,y+1/2,-z'
'x+1/2,-y+1/2,z'
loop_
_atom_site_label
_atom_site_fract_x
_atom_site_fract_y
_atom_site_fract_z
In1 0.000 0.000 0.000
In2 0.000 0.145 0.500
In3 0.000 0.274 0.000
Hg1 0.173 0.368 0.691
Hg2 0.185 0.500 0.211
```

Calculated values
total energy	-1.392	eV per atom
crystal system	monoclinic
energy of formation from the pure elements	19	kJ/mol of formula units
relative energy among the computed polymorphs	0.012	eV per atom